# 1
# PdRu2Br

A relaxed PdRu2Br crystal (GGA-PBE, Alexandria).

Cell: 4.461 4.461 4.461 Å, 60.00 60.00 60.00°
Site moments in Bohr magnetons follow the coordinates.
Element x y z (fractional)
Ru  0.250  0.250  0.250  1.08
Ru  0.750  0.750  0.750  1.08
Br  0.000  0.000  0.000  0.05
Pd  0.500  0.500  0.500  0.22

Results
Energy above the lowest structure with this stoichiometry: 0.000 eV per atom
DOS(E_F): 1.537 states/eV/atom


# 2
# PdRuBr2

A relaxed PdRuBr2 crystal (GGA-PBE, Alexandria).

Cell: 4.650 4.650 4.650 Å, 60.00 60.00 60.00°
Element x y z (fractional)
Ru  0.000  0.000  0.000
Br  0.250  0.250  0.250
Br  0.750  0.750  0.750
Pd  0.500  0.500  0.500

Results
Energy above the lowest structure with this stoichiometry: 0.343 eV per atom
DOS(E_F): 0.804 states/eV/atom


# 3
# Pd3RuBr

A relaxed Pd3RuBr crystal (GGA-PBE, Alexandria).

Cell: 4.681 4.681 4.681 Å, 90.00 90.00 90.00°
Site moments in Bohr magnetons follow the coordinates.
Element x y z (fractional)
Ru  0.500  0.500  0.500  2.44
Br  0.000  0.000  0.000  0.02
Pd  0.000  0.500  0.000  0.07
Pd  0.000  0.000  0.500  0.04
Pd  0.500  0.000  0.000  0.17

Results
Energy above the lowest structure with this stoichiometry: 0.007 eV per atom
DOS(E_F): 0.999 states/eV/atom


# 4
# PdRuBr2

A relaxed PdRuBr2 crystal (GGA-PBE, Alexandria).

Cell: 7.947 7.947 7.947 Å, 26.96 26.96 26.96°
Element x y z (fractional)
Ru  0.500  0.500  0.500
Br  0.893  0.893  0.893
Br  0.107  0.107  0.107
Pd  0.000  0.000  0.000

Results
Energy above the lowest structure with this stoichiometry: 0.000 eV per atom
DOS(E_F): 0.186 states/eV/atom


# 5
# Sc2PdRuBr

A relaxed Sc2PdRuBr crystal (GGA-PBE, Alexandria).

Cell: 5.049 4.784 5.049 Å, 90.00 90.00 90.00°
Element x y z (fractional)
Sc  0.000  0.000  0.500
Sc  0.500  0.000  0.000
Ru  0.000  0.000  0.000
Br  0.500  0.500  0.500
Pd  0.000  0.500  0.000

Results
Electronic total energy: -5.708 eV per atom
DOS(E_F): 1.110 states/eV/atom


# 6
# PdRuSe2Br

A relaxed PdRuSe2Br crystal (GGA-PBE, Alexandria).

Cell: 4.744 4.744 5.320 Å, 90.00 90.00 90.00°
Element x y z (fractional)
Ru  0.000  0.000  0.000
Se  0.000  0.500  0.000
Se  0.500  0.000  0.000
Br  0.000  0.000  0.500
Pd  0.500  0.500  0.500

Results
Energy above the lowest structure with this stoichiometry: 0.000 eV per atom
DOS(E_F): 1.700 states/eV/atom


# 7
# TlPdRuBr6

A relaxed TlPdRuBr6 crystal (GGA-PBE, Alexandria).

Cell: 6.749 6.749 7.270 Å, 90.00 90.00 60.00°
Site moments in Bohr magnetons follow the coordinates.
Element x y z (fractional)
Tl  0.000  0.000  0.000  0.01
Pd  0.667  0.667  0.500  0.72
Ru  0.333  0.333  0.500  -0.28
Br  0.014  0.355  0.305  0.07
Br  0.355  0.014  0.695  0.07
Br  0.630  0.355  0.695  0.07
Br  0.014  0.630  0.695  0.07
Br  0.355  0.630  0.305  0.07
Br  0.630  0.014  0.305  0.07

Results
Electronic total energy: -3.332 eV per atom
DOS(E_F): 0.692 states/eV/atom


# 8
# PdSBr

A relaxed PdSBr crystal (GGA-PBE, Alexandria).

Cell: 6.359 7.917 7.797 Å, 125.80 90.00 90.00°
Element x y z (fractional)
Pd  0.162  0.453  0.082
Pd  0.662  0.047  0.918
Pd  0.838  0.547  0.918
Pd  0.338  0.953  0.082
S  0.319  0.132  0.927
S  0.819  0.368  0.073
S  0.681  0.868  0.073
S  0.181  0.632  0.927
Br  0.931  0.841  0.644
Br  0.431  0.659  0.356
Br  0.069  0.159  0.356
Br  0.569  0.341  0.644

Results
Electronic total energy: -3.699 eV per atom
DOS(E_F): 0.199 states/eV/atom


# 9
# PdSBr

A relaxed PdSBr crystal (GGA-PBE, Alexandria).

Cell: 4.078 6.450 6.767 Å, 66.44 82.63 80.83°
Element x y z (fractional)
S  0.733  0.058  0.356
S  0.383  0.252  0.157
Br  0.697  0.805  0.981
Br  0.237  0.505  0.612
Pd  0.728  0.363  0.861
Pd  0.119  0.996  0.100

Results
Electronic total energy: -3.841 eV per atom


# 10
# PdSBr

A relaxed PdSBr crystal (GGA-PBE, Alexandria).

Cell: 3.494 6.067 9.648 Å, 114.19 90.00 106.73°
Element x y z (fractional)
Pd  0.808  0.615  0.845
Pd  0.192  0.385  0.155
S  0.412  0.825  0.009
S  0.588  0.175  0.991
Br  0.819  0.638  0.345
Br  0.181  0.362  0.655

Results
Electronic total energy: -3.957 eV per atom


# 11
# Pd2S3Br

A relaxed Pd2S3Br crystal (GGA-PBE, Alexandria).

Cell: 7.277 7.305 6.288 Å, 72.26 90.00 119.88°
Element x y z (fractional)
Pd  0.000  0.000  0.000
Pd  0.000  0.500  0.000
Pd  0.500  0.500  0.000
Pd  0.500  0.000  0.000
S  0.203  0.406  0.824
S  0.202  0.893  0.810
S  0.691  0.893  0.810
S  0.309  0.107  0.190
S  0.797  0.594  0.176
S  0.798  0.107  0.190
Br  0.295  0.590  0.431
Br  0.705  0.410  0.569

Results
Electronic total energy: -4.218 eV per atom
DOS(E_F): 0.215 states/eV/atom


# 12
# PdSBr2

A relaxed PdSBr2 crystal (GGA-PBE, Alexandria).

Cell: 8.023 8.023 8.023 Å, 28.64 28.64 28.64°
Element x y z (fractional)
S  0.000  0.000  0.000
Br  0.895  0.895  0.895
Br  0.105  0.105  0.105
Pd  0.500  0.500  0.500

Results
Electronic total energy: -2.887 eV per atom
DOS(E_F): 1.430 states/eV/atom


# 13
# PdSBr

A relaxed PdSBr crystal (GGA-PBE, Alexandria).

Cell: 6.082 3.533 6.532 Å, 90.00 107.71 90.00°
Element x y z (fractional)
S  0.993  0.000  0.276
S  0.993  0.500  0.776
Br  0.501  0.000  0.831
Br  0.501  0.500  0.331
Pd  0.794  0.000  0.556
Pd  0.794  0.500  0.056

Results
Electronic total energy: -3.770 eV per atom
DOS(E_F): 0.757 states/eV/atom